Here is TbTmBr3 after structural relaxation from the Alexandria database. Energies are from PBE.

Properties
Raw total energy, eV per cell: -86.20

Cell lengths 18.5906, 3.8656, 11.4783 Å; angles 90.00, 125.16, 90.00 degrees
Space group C2/m (No. 12)
Symmetry-distinct sites (fractional):
Tb  0.1359  0.0000  0.2831 [4 per cell]
Tm  0.0687  0.5000  0.9592 [4 per cell]
Br  0.0307  0.0000  0.7457 [4 per cell]
Br  0.1683  0.5000  0.5072 [4 per cell]
Br  0.2087  0.0000  0.1177 [4 per cell]

=====

Here is TbYBr2 after structural relaxation from the Alexandria database. Energies are from PBE.

Properties
Raw total energy, eV per cell: -55.25

Cell lengths 3.6700, 3.6700, 30.0406 Å; angles 90.00, 90.00, 120.00 degrees
Space group R-3m (No. 166, hexagonal axes)
Symmetry-distinct sites (fractional):
Tb  0.0000  0.0000  0.0000 [3 per cell]
Y  0.0000  0.0000  0.5000 [3 per cell]
Br  0.0000  0.0000  0.4033 [6 per cell]

=====

Here is TbYBr3 after structural relaxation from the Alexandria database. Energies are from PBE.

Properties
E above lowest polymorph, eV per atom: 0.0000

Cell lengths 18.1904, 3.9215, 11.3910 Å; angles 90.00, 124.12, 90.00 degrees
Space group C2/m (No. 12)
Symmetry-distinct sites (fractional):
Tb  0.1362  0.0000  0.2846 [4 per cell]
Y  0.0725  0.5000  0.9582 [4 per cell]
Br  0.0330  0.0000  0.7420 [4 per cell]
Br  0.1666  0.5000  0.5057 [4 per cell]
Br  0.2140  0.0000  0.1214 [4 per cell]

=====

Here is TbYBr3 after structural relaxation from the Alexandria database. Energies are from PBE.

Properties
E above lowest polymorph, eV per atom: 0.0206

Cell lengths 18.3524, 3.9344, 10.7685 Å; angles 90.00, 109.91, 90.00 degrees
Space group C2/m (No. 12)
Symmetry-distinct sites (fractional):
Tb  0.0811  0.0000  0.2534 [4 per cell]
Y  0.0803  0.5000  0.9650 [4 per cell]
Br  0.0765  0.0000  0.7593 [4 per cell]
Br  0.1386  0.5000  0.4554 [4 per cell]
Br  0.1946  0.0000  0.1260 [4 per cell]

=====

Here is Tb2YBr5 after structural relaxation from the Alexandria database. Energies are from PBE.

Properties
Raw total energy, eV per cell: -34.36

Cell lengths 6.7541, 6.7552, 7.5691 Å; angles 69.98, 70.30, 66.58 degrees
Space group P1 (No. 1)
Symmetry-distinct sites (fractional):
Tb  0.0000  0.0000  0.0000 [1 per cell]
Tb  0.4915  0.5087  0.9999 [1 per cell]
Y  0.5315  0.0413  0.7587 [1 per cell]
Br  0.2163  0.2571  0.0454 [1 per cell]
Br  0.3002  0.8124  0.6729 [1 per cell]
Br  0.6532  0.1588  0.3299 [1 per cell]
Br  0.7490  0.7240  0.0464 [1 per cell]
Br  0.8085  0.3201  0.6825 [1 per cell]

=====

Here is Tb2ZnBr after structural relaxation from the Alexandria database. Energies are from PBE.

Properties
E above lowest polymorph, eV per atom: 0.0021

Cell lengths 3.7353, 3.7353, 25.3737 Å; angles 90.00, 90.00, 120.00 degrees
Space group R3m (No. 160, hexagonal axes)
Symmetry-distinct sites (fractional):
Tb  0.0000  0.0000  0.0000 [3 per cell]
Tb  0.0000  0.0000  0.1757 [3 per cell]
Zn  0.0000  0.0000  0.5882 [3 per cell]
Br  0.0000  0.0000  0.4205 [3 per cell]

=====

Here is TbZnBr after structural relaxation from the Alexandria database. Energies are from PBE.

Properties
Raw total energy, eV per cell: -63.54

Cell lengths 4.1204, 4.1204, 34.7835 Å; angles 90.00, 90.00, 120.00 degrees
Space group R-3m (No. 166, hexagonal axes)
Symmetry-distinct sites (fractional):
Tb  0.0000  0.0000  0.0596 [6 per cell]
Zn  0.0000  0.0000  0.3388 [6 per cell]
Br  0.0000  0.0000  0.2225 [6 per cell]

=====

Here is Tb2ZnBr after structural relaxation from the Alexandria database. Energies are from PBE.

Properties
E above lowest polymorph, eV per atom: 0.0000

Cell lengths 4.0140, 4.0140, 22.3933 Å; angles 90.00, 90.00, 120.00 degrees
Space group R-3m (No. 166, hexagonal axes)
Symmetry-distinct sites (fractional):
Tb  0.0000  0.0000  0.2427 [6 per cell]
Zn  0.0000  0.0000  0.5000 [3 per cell]
Br  0.0000  0.0000  0.0000 [3 per cell]

=====

Here is Tb2ZnBr2 after structural relaxation from the Alexandria database. Energies are from PBE.

Properties
Raw total energy, eV per cell: -58.12

Cell lengths 3.9428, 3.9428, 34.1607 Å; angles 90.00, 90.00, 120.00 degrees
Space group R-3m (No. 166, hexagonal axes)
Symmetry-distinct sites (fractional):
Tb  0.0000  0.0000  0.1115 [6 per cell]
Zn  0.0000  0.0000  0.5000 [3 per cell]
Br  0.0000  0.0000  0.2762 [6 per cell]

=====

Here is Tb2ZnBr after structural relaxation from the Alexandria database. Energies are from PBE.

Properties
E above lowest polymorph, eV per atom: 0.0671

Cell lengths 3.4916, 3.4916, 8.1036 Å; angles 90.00, 90.00, 90.00 degrees
Space group P4/mmm (No. 123)
Symmetry-distinct sites (fractional):
Tb  0.0000  0.0000  0.2199 [2 per cell]
Zn  0.5000  0.5000  0.0000 [1 per cell]
Br  0.5000  0.5000  0.5000 [1 per cell]

=====

Here is TbZnBr after structural relaxation from the Alexandria database. Energies are from PBE.

Properties
Raw total energy, eV per cell: -40.66

Cell lengths 6.8167, 3.9356, 13.0635 Å; angles 90.00, 99.84, 90.00 degrees
Space group C2/m (No. 12)
Symmetry-distinct sites (fractional):
Tb  0.1006  0.0000  0.2971 [4 per cell]
Zn  0.1829  0.0000  0.5499 [4 per cell]
Br  0.1136  0.5000  0.8480 [4 per cell]

=====

Here is Tb7ZnBr12 after structural relaxation from the Alexandria database. Energies are from PBE.

Properties
Raw total energy, eV per cell: -252.34

Cell lengths 14.8915, 14.8915, 9.8428 Å; angles 90.00, 90.00, 120.00 degrees
Space group R-3 (No. 148, hexagonal axes)
Symmetry-distinct sites (fractional):
Tb  0.0000  0.0000  0.0000 [3 per cell]
Tb  0.0466  0.1678  0.3390 [18 per cell]
Zn  0.0000  0.0000  0.5000 [3 per cell]
Br  0.0251  0.5872  0.1632 [18 per cell]
Br  0.0507  0.1830  0.8431 [18 per cell]

=====

Number 1: magnetization 0.00 μB/f.u.. Number 2: magnetization 0.00 μB/f.u.. Number 3: magnetization 0.00 μB/f.u.. Number 4: magnetization 0.00 μB/f.u.. Number 5: magnetization 0.60 μB/f.u.. Number 6: magnetization 0.00 μB/f.u.. Number 7: magnetization 0.00 μB/f.u.. Number 8: magnetization 0.00 μB/f.u.. Number 9: magnetization 0.00 μB/f.u.. Number 10: magnetization 0.00 μB/f.u.. Number 11: magnetization 0.00 μB/f.u.. Number 12: magnetization 0.00 μB/f.u..